# 1
Compound: Hf3TlBi
Source: Alexandria
Functional: GGA-PBE
Structure: relaxed

Properties
Energy above the most stable polymorph in this dataset = 1126 meV per atom
Magnetic moment = 0.0 μB per formula unit
Calculated density = 10180 kg/m³
Density of states at the Fermi level = 7.4 states/eV per cell
Space group = Pm-3m, No. 221
Total DFT energy (no corrections) = -29.9 eV per cell
E_form = 1251 meV/atom

Cell: 5.369 5.369 5.369 Å, 90.00 90.00 90.00°
Positions (direct):
Hf 0.000 0.000 0.500
Hf 0.000 0.500 0.000
Hf 0.500 0.000 0.000
Tl 0.500 0.500 0.500
Bi 0.000 0.000 0.000

***

# 2
Compound: Hf3TlBi
Source: Alexandria
Functional: GGA-PBE
Structure: relaxed

Properties
Energy above the most stable polymorph in this dataset = 1016 meV per atom
Magnetic moment = 0.0 μB per formula unit
Calculated density = 10605 kg/m³
Density of states at the Fermi level = 9.1 states/eV per cell
Space group = Pm-3m, No. 221
Total DFT energy (no corrections) = -30.4 eV per cell
E_form = 1140 meV/atom

Cell: 5.296 5.296 5.296 Å, 90.00 90.00 90.00°
Positions (direct):
Hf 0.000 0.000 0.500
Hf 0.000 0.500 0.000
Hf 0.500 0.000 0.000
Tl 0.000 0.000 0.000
Bi 0.500 0.500 0.500

***

# 3
Compound: Hf2TlBi2
Source: Alexandria
Functional: GGA-PBE
Structure: relaxed

Properties
Energy above the most stable polymorph in this dataset = 0 meV per atom
Magnetic moment = 0.0 μB per formula unit
Calculated density = 12642 kg/m³
Density of states at the Fermi level = 5.9 states/eV per cell
Space group = P4/mbm, No. 127
Total DFT energy (no corrections) = -60.3 eV per cell
E_form = -18 meV/atom

Cell: 8.043 8.043 3.977 Å, 90.00 90.00 90.00°
Positions (direct):
Hf 0.141 0.359 0.000
Hf 0.359 0.859 0.000
Hf 0.641 0.141 0.000
Hf 0.859 0.641 0.000
Tl 0.000 0.000 0.000
Tl 0.500 0.500 0.000
Bi 0.155 0.655 0.500
Bi 0.345 0.155 0.500
Bi 0.655 0.845 0.500
Bi 0.845 0.345 0.500

***

# 4
Compound: HfTlBi
Source: Alexandria
Functional: GGA-PBE
Structure: relaxed

Properties
Energy above the most stable polymorph in this dataset = 0 meV per atom
Magnetic moment = 0.0 μB per formula unit
Calculated density = 11889 kg/m³
Density of states at the Fermi level = 3.0 states/eV per cell
Space group = P-1, No. 2
Total DFT energy (no corrections) = -32.4 eV per cell
E_form = -5 meV/atom

Cell: 3.323 5.686 9.433 Å, 96.49 100.05 106.92°
Positions (direct):
Hf 0.099 0.281 0.417
Hf 0.901 0.719 0.583
Tl 0.436 0.272 0.099
Tl 0.564 0.728 0.901
Bi 0.297 0.788 0.303
Bi 0.703 0.212 0.697

***

# 5
Compound: Hf2TlBi
Source: Alexandria
Functional: GGA-PBE
Structure: relaxed

Properties
Energy above the most stable polymorph in this dataset = 45 meV per atom
Magnetic moment = 0.0 μB per formula unit
Calculated density = 13618 kg/m³
Density of states at the Fermi level = 11.9 states/eV per cell
Space group = Fm-3m, No. 225
Total DFT energy (no corrections) = -101.4 eV per cell
E_form = 201 meV/atom

Cell: 7.216 7.216 7.216 Å, 90.00 90.00 90.00°
Positions (direct):
Hf 0.250 0.250 0.250
Hf 0.250 0.250 0.750
Hf 0.250 0.750 0.250
Hf 0.250 0.750 0.750
Hf 0.750 0.250 0.250
Hf 0.750 0.250 0.750
Hf 0.750 0.750 0.250
Hf 0.750 0.750 0.750
Tl 0.000 0.000 0.000
Tl 0.000 0.500 0.500
Tl 0.500 0.000 0.500
Tl 0.500 0.500 0.000
Bi 0.000 0.000 0.500
Bi 0.000 0.500 0.000
Bi 0.500 0.000 0.000
Bi 0.500 0.500 0.500

***

# 6
Compound: Hf2TlBi2
Source: Alexandria
Functional: GGA-PBE
Structure: relaxed

Properties
Energy above the most stable polymorph in this dataset = 189 meV per atom
Magnetic moment = 0.0 μB per formula unit
Calculated density = 11930 kg/m³
Density of states at the Fermi level = 9.4 states/eV per cell
Space group = P4/mbm, No. 127
Total DFT energy (no corrections) = -58.4 eV per cell
E_form = 171 meV/atom

Cell: 8.582 8.582 3.701 Å, 90.00 90.00 90.00°
Positions (direct):
Hf 0.129 0.371 0.000
Hf 0.371 0.871 0.000
Hf 0.629 0.129 0.000
Hf 0.871 0.629 0.000
Tl 0.000 0.000 0.500
Tl 0.500 0.500 0.500
Bi 0.156 0.656 0.500
Bi 0.344 0.156 0.500
Bi 0.656 0.844 0.500
Bi 0.844 0.344 0.500

***

# 7
Compound: Tm2HfBi
Source: Alexandria
Functional: GGA-PBE
Structure: relaxed

Properties
Energy above the most stable polymorph in this dataset = 0 meV per atom
Magnetic moment = 0.0 μB per formula unit
Calculated density = 11237 kg/m³
Density of states at the Fermi level = 4.8 states/eV per cell
Space group = P4/mmm, No. 123
Total DFT energy (no corrections) = -23.6 eV per cell
E_form = -210 meV/atom

Cell: 3.909 3.909 7.015 Å, 90.00 90.00 90.00°
Positions (direct):
Tm 0.000 0.000 0.248
Tm 0.000 0.000 0.752
Hf 0.500 0.500 0.500
Bi 0.500 0.500 0.000

***

# 8
Compound: Tm5HfBi6
Source: Alexandria
Functional: GGA-PBE
Structure: relaxed

Properties
Magnetic moment = 0.0 μB per formula unit
Calculated density = 10532 kg/m³
Density of states at the Fermi level = 3.3 states/eV per cell
Space group = C2/m, No. 12
Total DFT energy (no corrections) = -63.3 eV per cell
E_form = -642 meV/atom

Cell: 7.605 7.605 7.603 Å, 99.62 99.62 119.98°
Positions (direct):
Tm 0.000 0.000 0.000
Tm 0.165 0.835 0.500
Tm 0.329 0.671 0.000
Tm 0.671 0.329 0.000
Tm 0.835 0.165 0.500
Hf 0.500 0.500 0.500
Bi 0.094 0.420 0.256
Bi 0.259 0.259 0.749
Bi 0.420 0.094 0.256
Bi 0.580 0.906 0.744
Bi 0.741 0.741 0.251
Bi 0.906 0.580 0.744

***

Among the records above, which one has the highest density of states at the Fermi level?
Hf2TlBi

***

Which formula does entry 8 have?
Tm5HfBi6

***

Which value of E_form does entry 3 give?
-18 meV/atom